1.
{"formula": "SrAg3O", "functional": "PBE", "state": "relaxed", "lattice": [[-4.618, 0.434, -0.959], [-0.177, -4.575, -1.216], [-1.038, -1.150, 4.476]], "species": ["Sr", "Ag", "Ag", "Ag", "O"], "fractional_positions": [[0.500, 0.500, 0.500], [0.500, 0.000, 0.000], [0.000, 0.500, 0.000], [0.000, 0.000, 0.500], [0.000, 0.000, 0.000]], "polymorph_energy_mev_per_atom": 0, "spacegroup": "No. 221"}

2.
{"formula": "Cr2FeHg", "functional": "PBE", "state": "relaxed", "lattice": [[-5.663, 5.872, 1.895], [-7.210, 3.520, 2.402], [-5.467, 4.548, 4.424]], "species": ["Fe", "Cr", "Hg", "Cr"], "fractional_positions": [[0.488, 0.488, 0.488], [0.015, 0.015, 0.015], [0.250, 0.250, 0.250], [0.746, 0.746, 0.746]], "e_form_ev_per_atom": 0.506, "spacegroup": "No. 160"}

3.
{"formula": "YIn2Os", "functional": "PBE", "state": "relaxed", "lattice": [[5.190, -0.001, -0.004], [4.021, 3.282, -0.004], [1.237, 0.441, 5.086]], "species": ["Y", "In", "In", "Os"], "fractional_positions": [[0.250, 0.250, 0.250], [0.481, 0.481, 0.540], [0.019, 0.019, 0.960], [0.750, 0.750, 0.750]], "e_form_ev_per_atom": 0.021, "spacegroup": "No. 12"}

4.
{"formula": "HgTeIN2", "functional": "PBE", "state": "relaxed", "lattice": [[-2.660, -1.869, -2.489], [2.527, 0.614, -3.162], [3.133, -6.192, 1.301]], "species": ["I", "N", "N", "Hg", "Te"], "fractional_positions": [[0.000, 0.000, 0.000], [0.500, 0.000, 0.000], [0.000, 0.500, 0.000], [0.500, 0.500, 0.500], [0.000, 0.000, 0.500]], "polymorph_energy_mev_per_atom": 378, "spacegroup": "No. 123"}

5.
{"formula": "PmErTlAu", "functional": "PBE", "state": "relaxed", "lattice": [[3.647, 0.000, 0.000], [0.000, 3.647, 0.000], [0.000, 0.000, 7.806]], "species": ["Au", "Pm", "Tl", "Er"], "fractional_positions": [[0.000, 0.000, 0.381], [0.500, 0.500, 0.121], [0.000, 0.000, 0.845], [0.500, 0.500, 0.581]], "e_form_ev_per_atom": -0.606, "polymorph_energy_mev_per_atom": 0, "spacegroup": "No. 99"}

6.
{"formula": "Tl15BiPb4", "functional": "PBE", "state": "relaxed", "lattice": [[4.960, 0.000, 0.000], [0.000, 4.960, 0.000], [0.000, 0.000, 25.250]], "species": ["Tl", "Bi", "Tl", "Tl", "Tl", "Pb", "Pb", "Tl", "Tl", "Tl", "Tl", "Pb", "Tl", "Tl", "Pb", "Tl", "Tl", "Tl", "Tl", "Tl"], "fractional_positions": [[0.000, 0.500, 0.500], [0.000, 0.000, 0.000], [0.500, 0.000, 0.500], [0.500, 0.500, 0.401], [0.500, 0.500, 0.200], [0.000, 0.000, 0.401], [0.000, 0.000, 0.201], [0.500, 0.500, 0.599], [0.500, 0.000, 0.301], [0.500, 0.500, 0.000], [0.500, 0.000, 0.699], [0.000, 0.000, 0.599], [0.000, 0.500, 0.901], [0.000, 0.500, 0.699], [0.000, 0.000, 0.799], [0.500, 0.000, 0.901], [0.500, 0.000, 0.099], [0.500, 0.500, 0.800], [0.000, 0.500, 0.301], [0.000, 0.500, 0.099]], "e_form_ev_per_atom": 0.008, "spacegroup": "No. 123"}

For each record above, in turn, the calculated magnetic moment values are 0.0 2.2 0.0 0.2 0.0 0.0 Bohr magnetons per cell.